An optimized crystal structure of Rb2LiPuCl4O2. Source: the Alexandria database, functional PBE-GGA.

Calculated values
Total energy: -5.581 eV per atom
Raw formation energy: -2.032 eV/atom
Energy above the lowest structure with this stoichiometry: 83 meV/atom

Cell lengths 8.2716, 8.2716, 5.1658 Å; angles 103.40, 103.40, 57.00 degrees
Last column: nearest neighbours and their distance in Å.
Positions (direct):
Rb (0.2172, 0.2172, 0.2999)  1 O 3.09, 4 Cl 3.35-3.40
Rb (0.7828, 0.7828, 0.7001)  1 O 3.09, 4 Cl 3.35-3.40
Li (0.0000, 0.0000, 0.5000)  4 Cl 2.46
Pu (0.5000, 0.5000, 0.5000)  2 O 1.81
Cl (0.1065, 0.6718, 0.2547)  1 Li 2.46
Cl (0.3282, 0.8935, 0.7453)  1 Li 2.46
Cl (0.6718, 0.1065, 0.2547)  1 Li 2.46
Cl (0.8935, 0.3282, 0.7453)  1 Li 2.46
O (0.4161, 0.4161, 0.7036)  1 Pu 1.81
O (0.5839, 0.5839, 0.2964)  1 Pu 1.81